The following is a PBE calculation of crystalline Rb2NaCeF8 at its relaxed geometry, from Alexandria via LeMat-Bulk.

Energy relative to the elements, uncorrected = -35.4 eV/f.u.

Lattice parameters (Å, degrees): 6.204 6.204 7.256 115.31 115.31 90.00
Each line ends with the local moment (μB).
Positions (direct):
Rb  0.750  0.250  0.500  0.00
Rb  0.000  0.000  0.000  0.00
Na  0.500  0.500  0.000  0.00
Ce  0.250  0.750  0.500  -0.05
F  0.165  0.641  0.730  0.13
F  0.565  0.641  0.730  0.13
F  0.359  0.435  0.270  0.13
F  0.911  0.835  0.270  0.13
F  0.565  0.089  0.730  0.13
F  0.359  0.835  0.270  0.13
F  0.165  0.089  0.730  0.13
F  0.911  0.435  0.270  0.13